# 1
{
  "formula": "Ho12Be3O5",
  "functional": "PBE",
  "state": "relaxed",
  "lattice": [[-3.953, -5.394, -11.109], [2.867, -9.318, 8.549], [-9.450, 7.486, 4.773]],
  "species": ["Be", "Be", "Be", "Be", "Be", "Be", "Be", "Be", "Be", "Be", "Be", "Be", "Ho", "Ho", "Ho", "Ho", "Ho", "Ho", "Ho", "Ho", "Ho", "Ho", "Ho", "Ho", "Ho", "Ho", "Ho", "Ho", "Ho", "Ho", "Ho", "Ho", "Ho", "Ho", "Ho", "Ho", "Ho", "Ho", "Ho", "Ho", "Ho", "Ho", "Ho", "Ho", "Ho", "Ho", "Ho", "Ho", "Ho", "Ho", "Ho", "Ho", "Ho", "Ho", "Ho", "Ho", "Ho", "Ho", "Ho", "Ho", "O", "O", "O", "O", "O", "O", "O", "O", "O", "O", "O", "O", "O", "O", "O", "O", "O", "O", "O", "O"],
  "frac_coords": [[0.750, 0.375, 0.125], [0.875, 0.750, 0.125], [0.375, 0.750, 0.625], [0.250, 0.125, 0.375], [0.875, 0.125, 0.250], [0.375, 0.625, 0.250], [0.625, 0.375, 0.750], [0.125, 0.875, 0.750], [0.750, 0.875, 0.625], [0.625, 0.250, 0.375], [0.125, 0.250, 0.875], [0.250, 0.625, 0.875], [0.707, 0.116, 0.021], [0.315, 0.521, 0.405], [0.979, 0.384, 0.293], [0.521, 0.207, 0.116], [0.591, 0.707, 0.685], [0.979, 0.595, 0.185], [0.315, 0.793, 0.409], [0.095, 0.909, 0.116], [0.595, 0.979, 0.685], [0.707, 0.591, 0.185], [0.793, 0.479, 0.384], [0.815, 0.905, 0.021], [0.116, 0.707, 0.521], [0.384, 0.405, 0.091], [0.091, 0.905, 0.384], [0.409, 0.116, 0.595], [0.091, 0.185, 0.207], [0.479, 0.685, 0.095], [0.815, 0.909, 0.293], [0.116, 0.409, 0.095], [0.384, 0.979, 0.793], [0.595, 0.616, 0.409], [0.905, 0.815, 0.521], [0.793, 0.315, 0.909], [0.405, 0.384, 0.591], [0.095, 0.185, 0.479], [0.207, 0.685, 0.091], [0.185, 0.091, 0.707], [0.616, 0.021, 0.207], [0.884, 0.591, 0.905], [0.521, 0.315, 0.905], [0.591, 0.884, 0.405], [0.909, 0.815, 0.793], [0.909, 0.095, 0.616], [0.884, 0.293, 0.479], [0.185, 0.095, 0.979], [0.616, 0.595, 0.909], [0.405, 0.021, 0.315], [0.293, 0.409, 0.815], [0.207, 0.521, 0.616], [0.905, 0.091, 0.884], [0.685, 0.207, 0.591], [0.479, 0.793, 0.884], [0.021, 0.405, 0.815], [0.409, 0.293, 0.315], [0.021, 0.616, 0.707], [0.685, 0.479, 0.595], [0.293, 0.884, 0.979], [0.125, 0.375, 0.250], [0.000, 0.500, 0.000], [0.000, 0.000, 0.000], [0.375, 0.250, 0.125], [0.500, 0.000, 0.500], [0.500, 0.500, 0.000], [0.125, 0.750, 0.375], [0.750, 0.125, 0.875], [0.750, 0.625, 0.375], [0.375, 0.125, 0.750], [0.625, 0.875, 0.250], [0.500, 0.500, 0.500], [0.500, 0.000, 0.000], [0.000, 0.000, 0.500], [0.250, 0.375, 0.625], [0.250, 0.875, 0.125], [0.000, 0.500, 0.500], [0.875, 0.250, 0.625], [0.625, 0.750, 0.875], [0.875, 0.625, 0.750]],
  "sg": "No. 230",
  "raw_formation_energy_mev_per_atom": -1373
}

=====

# 2
{
  "formula": "MnSi2Ni",
  "functional": "PBE",
  "state": "relaxed",
  "lattice": [[4.079, 0.010, 0.012], [3.224, 2.498, 0.012], [0.993, 0.341, 4.638]],
  "species": ["Mn", "Ni", "Si", "Si"],
  "frac_coords": [[0.750, 0.750, 0.750], [0.250, 0.250, 0.250], [0.998, 0.998, 0.994], [0.502, 0.502, 0.506]],
  "sg": "No. 12",
  "raw_formation_energy_mev_per_atom": -252
}

=====

# 3
{
  "formula": "Pr6DyTm5",
  "functional": "PBE",
  "state": "relaxed",
  "lattice": [[4.947, 0.016, -1.442], [-1.365, 8.786, -4.577], [0.091, -0.720, 9.514]],
  "species": ["Pr", "Pr", "Pr", "Pr", "Pr", "Pr", "Tm", "Tm", "Tm", "Tm", "Tm", "Dy"],
  "frac_coords": [[0.833, 0.583, 0.667], [0.833, 0.084, 0.667], [0.500, 0.749, 0.000], [0.500, 0.251, 0.000], [0.167, 0.916, 0.333], [0.167, 0.417, 0.333], [0.667, 0.167, 0.334], [0.333, 0.333, 0.667], [0.000, 0.500, 0.000], [0.667, 0.667, 0.333], [0.333, 0.833, 0.666], [0.000, 0.000, 0.000]],
  "sg": "No. 71",
  "delta_e_f_kj_per_mol_fu": 22
}

=====

# 4
{
  "formula": "AlCIO2",
  "functional": "PBE",
  "state": "relaxed",
  "lattice": [[3.842, 0.000, 0.000], [0.000, 3.842, 0.000], [0.000, 0.000, 4.334]],
  "species": ["I", "C", "Al", "O", "O"],
  "frac_coords": [[0.000, 0.000, 0.500], [0.000, 0.000, 0.000], [0.500, 0.500, 0.500], [0.000, 0.500, 0.000], [0.500, 0.000, 0.000]],
  "sg": "No. 123",
  "raw_formation_energy_mev_per_atom": 1056
}

=====

# 5
{
  "formula": "NdSm3Y6",
  "functional": "PBE",
  "state": "relaxed",
  "lattice": [[-5.409, 3.034, 1.455], [-3.129, -0.533, -10.525], [-2.707, -8.128, 6.888]],
  "species": ["Nd", "Nd", "Sm", "Sm", "Sm", "Sm", "Sm", "Sm", "Y", "Y", "Y", "Y", "Y", "Y", "Y", "Y", "Y", "Y", "Y", "Y"],
  "frac_coords": [[0.144, 0.199, 0.801], [0.644, 0.801, 0.199], [0.457, 0.936, 0.712], [0.957, 0.712, 0.936], [0.069, 0.389, 0.611], [0.569, 0.611, 0.389], [0.957, 0.064, 0.288], [0.457, 0.288, 0.064], [0.043, 0.710, 0.620], [0.543, 0.620, 0.710], [0.369, 0.533, 0.950], [0.869, 0.950, 0.533], [0.380, 0.957, 0.043], [0.655, 0.274, 0.726], [0.155, 0.726, 0.274], [0.880, 0.043, 0.957], [0.369, 0.050, 0.467], [0.869, 0.467, 0.050], [0.043, 0.380, 0.290], [0.543, 0.290, 0.380]],
  "sg": "No. 36",
  "delta_e_f_kj_per_mol_fu": 138
}

=====

# 6
{
  "formula": "La3HgRh8",
  "functional": "PBE",
  "state": "relaxed",
  "lattice": [[5.421, 0.000, 0.000], [-2.710, 4.694, 0.000], [0.000, 0.000, 8.832]],
  "species": ["La", "La", "La", "Hg", "Rh", "Rh", "Rh", "Rh", "Rh", "Rh", "Rh", "Rh"],
  "frac_coords": [[0.667, 0.333, 0.448], [0.667, 0.333, 0.075], [0.000, 0.000, 0.914], [0.000, 0.000, 0.549], [0.333, 0.667, 0.503], [0.333, 0.667, 0.005], [0.500, 0.000, 0.749], [0.500, 0.500, 0.749], [0.000, 0.500, 0.749], [0.165, 0.329, 0.252], [0.165, 0.835, 0.252], [0.671, 0.835, 0.252]],
  "sg": "No. 156",
  "delta_e_f_kj_per_mol_fu": -576
}

=====

# 7
{
  "formula": "Mo6PbCl14",
  "functional": "PBE",
  "state": "relaxed",
  "lattice": [[13.356, 0.000, 0.000], [0.000, 13.356, 0.000], [0.000, 0.000, 13.356]],
  "species": ["Mo", "Mo", "Mo", "Mo", "Mo", "Mo", "Mo", "Mo", "Mo", "Mo", "Mo", "Mo", "Mo", "Mo", "Mo", "Mo", "Mo", "Mo", "Mo", "Mo", "Mo", "Mo", "Mo", "Mo", "Pb", "Pb", "Pb", "Pb", "Cl", "Cl", "Cl", "Cl", "Cl", "Cl", "Cl", "Cl", "Cl", "Cl", "Cl", "Cl", "Cl", "Cl", "Cl", "Cl", "Cl", "Cl", "Cl", "Cl", "Cl", "Cl", "Cl", "Cl", "Cl", "Cl", "Cl", "Cl", "Cl", "Cl", "Cl", "Cl", "Cl", "Cl", "Cl", "Cl", "Cl", "Cl", "Cl", "Cl", "Cl", "Cl", "Cl", "Cl", "Cl", "Cl", "Cl", "Cl", "Cl", "Cl", "Cl", "Cl", "Cl", "Cl", "Cl", "Cl"],
  "frac_coords": [[0.783, 0.117, 0.276], [0.276, 0.783, 0.117], [0.617, 0.224, 0.283], [0.117, 0.724, 0.217], [0.724, 0.217, 0.117], [0.883, 0.724, 0.783], [0.383, 0.224, 0.717], [0.224, 0.283, 0.617], [0.724, 0.783, 0.883], [0.783, 0.883, 0.724], [0.617, 0.776, 0.717], [0.776, 0.717, 0.617], [0.717, 0.383, 0.224], [0.883, 0.276, 0.217], [0.776, 0.283, 0.383], [0.283, 0.617, 0.224], [0.717, 0.617, 0.776], [0.224, 0.717, 0.383], [0.276, 0.217, 0.883], [0.117, 0.276, 0.783], [0.283, 0.383, 0.776], [0.383, 0.776, 0.283], [0.217, 0.883, 0.276], [0.217, 0.117, 0.724], [0.750, 0.750, 0.250], [0.250, 0.250, 0.250], [0.250, 0.750, 0.750], [0.750, 0.250, 0.750], [0.943, 0.685, 0.168], [0.931, 0.819, 0.630], [0.181, 0.630, 0.069], [0.569, 0.319, 0.130], [0.185, 0.668, 0.557], [0.832, 0.943, 0.315], [0.069, 0.181, 0.630], [0.557, 0.815, 0.332], [0.315, 0.832, 0.943], [0.681, 0.870, 0.569], [0.443, 0.815, 0.668], [0.319, 0.870, 0.431], [0.118, 0.882, 0.118], [0.630, 0.069, 0.181], [0.618, 0.618, 0.618], [0.681, 0.130, 0.431], [0.370, 0.931, 0.181], [0.332, 0.557, 0.815], [0.443, 0.185, 0.332], [0.882, 0.118, 0.118], [0.130, 0.431, 0.681], [0.815, 0.332, 0.557], [0.431, 0.681, 0.130], [0.057, 0.315, 0.168], [0.185, 0.332, 0.443], [0.431, 0.319, 0.870], [0.370, 0.069, 0.819], [0.815, 0.668, 0.443], [0.118, 0.118, 0.882], [0.168, 0.057, 0.315], [0.685, 0.168, 0.943], [0.181, 0.370, 0.931], [0.943, 0.315, 0.832], [0.819, 0.370, 0.069], [0.882, 0.882, 0.882], [0.870, 0.431, 0.319], [0.130, 0.569, 0.319], [0.557, 0.185, 0.668], [0.069, 0.819, 0.370], [0.668, 0.443, 0.815], [0.569, 0.681, 0.870], [0.319, 0.130, 0.569], [0.870, 0.569, 0.681], [0.168, 0.943, 0.685], [0.057, 0.685, 0.832], [0.832, 0.057, 0.685], [0.332, 0.443, 0.185], [0.618, 0.382, 0.382], [0.685, 0.832, 0.057], [0.315, 0.168, 0.057], [0.630, 0.931, 0.819], [0.668, 0.557, 0.185], [0.382, 0.382, 0.618], [0.382, 0.618, 0.382], [0.931, 0.181, 0.370], [0.819, 0.630, 0.931]],
  "sg": "No. 201",
  "raw_formation_energy_mev_per_atom": -988
}

=====

# 8
{
  "formula": "Zn2CuF8",
  "functional": "PBE",
  "state": "relaxed",
  "lattice": [[4.360, -0.124, -0.103], [0.052, 5.577, 0.322], [0.052, 1.336, 5.424]],
  "species": ["Zn", "Zn", "Cu", "F", "F", "F", "F", "F", "F", "F", "F"],
  "frac_coords": [[0.745, 0.375, 0.375], [0.255, 0.625, 0.625], [0.000, 0.000, 0.000], [0.784, 0.095, 0.691], [0.216, 0.309, 0.905], [0.729, 0.160, 0.160], [0.271, 0.840, 0.840], [0.784, 0.691, 0.095], [0.216, 0.905, 0.309], [0.261, 0.403, 0.403], [0.739, 0.597, 0.597]],
  "sg": "No. 12",
  "raw_formation_energy_mev_per_atom": -1695
}

=====

# 9
{
  "formula": "UFe2Cl8",
  "functional": "PBE",
  "state": "relaxed",
  "lattice": [[7.907, 0.000, 0.000], [0.000, 6.407, -3.699], [0.000, 0.000, 7.398]],
  "species": ["U", "Fe", "Fe", "Cl", "Cl", "Cl", "Cl", "Cl", "Cl", "Cl", "Cl"],
  "frac_coords": [[0.500, 0.000, 0.000], [0.811, 0.333, 0.667], [0.189, 0.667, 0.333], [0.917, 0.667, 0.333], [0.083, 0.333, 0.667], [0.305, 0.335, 0.167], [0.695, 0.665, 0.833], [0.695, 0.167, 0.833], [0.305, 0.833, 0.167], [0.305, 0.833, 0.665], [0.695, 0.167, 0.335]],
  "sg": "No. 164",
  "raw_formation_energy_mev_per_atom": -1069
}

=====

# 10
{
  "formula": "Pm7Hg2Os2",
  "functional": "PBE",
  "state": "relaxed",
  "lattice": [[6.878, -0.003, -0.807], [0.003, 7.286, 0.003], [-1.234, -0.002, 6.814]],
  "species": ["Pm", "Pm", "Pm", "Pm", "Pm", "Pm", "Pm", "Hg", "Hg", "Os", "Os"],
  "frac_coords": [[0.000, 0.251, 0.500], [0.500, 0.749, 0.000], [0.000, 0.749, 0.500], [0.500, 0.251, 0.000], [0.000, 0.000, 0.000], [0.500, 0.759, 0.500], [0.500, 0.241, 0.500], [0.821, 0.500, 0.821], [0.179, 0.500, 0.179], [0.708, 0.000, 0.292], [0.292, 0.000, 0.708]],
  "sg": "No. 65",
  "delta_e_f_kj_per_mol_fu": -171
}

=====

# 11
{
  "formula": "Ba2NaMgCl6",
  "functional": "PBE",
  "state": "relaxed",
  "lattice": [[7.098, 0.000, 0.000], [3.549, 6.147, 0.000], [3.549, 2.049, 13.209]],
  "species": ["Ba", "Ba", "Ba", "Ba", "Na", "Na", "Mg", "Mg", "Cl", "Cl", "Cl", "Cl", "Cl", "Cl", "Cl", "Cl", "Cl", "Cl", "Cl", "Cl"],
  "frac_coords": [[0.860, 0.860, 0.420], [0.140, 0.140, 0.580], [0.694, 0.694, 0.918], [0.306, 0.306, 0.082], [0.585, 0.585, 0.246], [0.415, 0.415, 0.754], [0.000, 0.000, 0.000], [0.500, 0.500, 0.500], [0.869, 0.370, 0.390], [0.370, 0.869, 0.390], [0.370, 0.370, 0.390], [0.131, 0.630, 0.610], [0.630, 0.131, 0.610], [0.630, 0.630, 0.610], [0.705, 0.202, 0.891], [0.202, 0.705, 0.891], [0.202, 0.202, 0.891], [0.295, 0.798, 0.109], [0.798, 0.295, 0.109], [0.798, 0.798, 0.109]],
  "sg": "No. 166",
  "raw_formation_energy_mev_per_atom": -1919
}

=====

# 12
{
  "formula": "BaPaHgI6",
  "functional": "PBE",
  "state": "relaxed",
  "lattice": [[8.509, 0.000, 0.000], [-4.254, 7.369, 0.000], [0.000, 0.000, 17.851]],
  "species": ["Ba", "Ba", "Pa", "Pa", "Hg", "Hg", "I", "I", "I", "I", "I", "I", "I", "I", "I", "I", "I", "I"],
  "frac_coords": [[0.333, 0.667, 0.250], [0.667, 0.333, 0.750], [0.667, 0.333, 0.250], [0.333, 0.667, 0.750], [0.000, 0.000, 0.000], [0.000, 0.000, 0.500], [0.656, 0.618, 0.149], [0.962, 0.344, 0.149], [0.344, 0.962, 0.649], [0.038, 0.656, 0.851], [0.382, 0.344, 0.351], [0.962, 0.618, 0.351], [0.618, 0.962, 0.851], [0.656, 0.038, 0.351], [0.038, 0.382, 0.649], [0.382, 0.038, 0.149], [0.618, 0.656, 0.649], [0.344, 0.382, 0.851]],
  "sg": "No. 163",
  "raw_formation_energy_mev_per_atom": -1112
}